Here is crystalline Tb2Nd2Dy2Cd at its relaxed geometry from Alexandria. Energies are from PBE-GGA.

Density of states at the Fermi level in states/eV/cell: 11.29
Symmetry: C2/m (12)
Calculated total energy in eV/cell: -28.23

Lattice parameters (Å, degrees): 8.891 8.891 8.233 116.25 116.25 22.57
Sites, in units of the cell vectors:
Tb  0.066  0.066  0.388
Tb  0.934  0.934  0.612
Nd  0.146  0.146  0.887
Nd  0.854  0.854  0.113
Dy  0.285  0.285  0.697
Dy  0.715  0.715  0.303
Cd  0.500  0.500  0.000

=====

Here is crystalline Rb3SnAu2 at its relaxed geometry from Alexandria. Energies are from PBE-GGA.

Density of states at the Fermi level in states/eV/cell: 8.36
Symmetry: P2_1/c (14)
Calculated total energy in eV/cell: -59.73

Lattice parameters (Å, degrees): 9.387 9.703 10.507 90.00 94.75 90.00
Sites, in units of the cell vectors:
Rb  0.129  0.065  0.277
Rb  0.129  0.435  0.777
Rb  0.206  0.727  0.019
Rb  0.206  0.773  0.519
Rb  0.330  0.132  0.936
Rb  0.330  0.368  0.436
Rb  0.670  0.632  0.564
Rb  0.670  0.868  0.064
Rb  0.794  0.227  0.481
Rb  0.794  0.273  0.981
Rb  0.871  0.565  0.223
Rb  0.871  0.935  0.723
Sn  0.459  0.046  0.630
Sn  0.459  0.454  0.130
Sn  0.541  0.546  0.870
Sn  0.541  0.954  0.370
Au  0.159  0.123  0.613
Au  0.159  0.377  0.113
Au  0.469  0.694  0.274
Au  0.469  0.806  0.774
Au  0.531  0.194  0.226
Au  0.531  0.306  0.726
Au  0.841  0.623  0.887
Au  0.841  0.877  0.387

=====

Here is crystalline V5CoRe4 at its relaxed geometry from Alexandria. Energies are from PBE-GGA.

Density of states at the Fermi level in states/eV/cell: 5.85
Symmetry: P4/mmm (123)
Calculated total energy in eV/cell: -105.39

Lattice parameters (Å, degrees): 3.033 3.033 14.906 90.00 90.00 90.00
Sites, in units of the cell vectors:
V  0.000  0.000  0.000
V  0.000  0.000  0.204
V  0.000  0.000  0.406
V  0.000  0.000  0.594
V  0.000  0.000  0.796
Co  0.500  0.500  0.500
Re  0.500  0.500  0.102
Re  0.500  0.500  0.307
Re  0.500  0.500  0.693
Re  0.500  0.500  0.898

=====

Here is crystalline Pm5Ga4Ge at its relaxed geometry from Alexandria. Energies are from PBE-GGA.

Density of states at the Fermi level in states/eV/cell: 4.59
Symmetry: P4/mmm (123)
Calculated total energy in eV/cell: -46.21

Lattice parameters (Å, degrees): 3.659 3.659 18.442 90.00 90.00 90.00
Sites, in units of the cell vectors:
Pm  0.000  0.000  0.000
Pm  0.000  0.000  0.199
Pm  0.000  0.000  0.400
Pm  0.000  0.000  0.600
Pm  0.000  0.000  0.801
Ga  0.500  0.500  0.099
Ga  0.500  0.500  0.297
Ga  0.500  0.500  0.703
Ga  0.500  0.500  0.901
Ge  0.500  0.500  0.500

=====

Here is crystalline ZrRhSe2 at its relaxed geometry from Alexandria. Energies are from PBE-GGA.

Density of states at the Fermi level in states/eV/cell: 2.62
Polymorph energy (0 for the lowest one) in eV per atom: 0.154
Symmetry: Cm (8)
Uncorrected formation energy in eV per atom: -0.710

Lattice parameters (Å, degrees): 5.325 5.325 4.424 97.80 97.80 38.14
Sites, in units of the cell vectors:
Zr  0.000  0.000  0.000
Rh  0.729  0.729  0.260
Se  0.262  0.262  0.880
Se  0.514  0.514  0.482

=====

Here is crystalline Tb2Sm3In2 at its relaxed geometry from Alexandria. Energies are from PBE-GGA.

Density of states at the Fermi level in states/eV/cell: 7.77
Polymorph energy (0 for the lowest one) in eV per atom: 0.000
Symmetry: Cmmm (65)

Lattice parameters (Å, degrees): 12.370 12.370 3.497 90.00 90.00 157.17
Sites, in units of the cell vectors:
Tb  0.212  0.788  0.000
Tb  0.788  0.212  0.000
Sm  0.360  0.640  0.500
Sm  0.500  0.500  0.500
Sm  0.640  0.360  0.500
In  0.071  0.929  0.000
In  0.929  0.071  0.000

=====

Here is crystalline Sm4Y2Er at its relaxed geometry from Alexandria. Energies are from PBE-GGA.

Density of states at the Fermi level in states/eV/cell: 21.57
Polymorph energy (0 for the lowest one) in eV per atom: 0.092
Symmetry: Cmcm (63)

Lattice parameters (Å, degrees): 11.376 11.376 12.099 90.00 90.00 162.04
Sites, in units of the cell vectors:
Sm  0.000  0.000  0.000
Sm  0.000  0.000  0.500
Sm  0.247  0.753  0.620
Sm  0.247  0.753  0.880
Sm  0.460  0.540  0.250
Sm  0.540  0.460  0.750
Sm  0.753  0.247  0.120
Sm  0.753  0.247  0.380
Y  0.374  0.626  0.008
Y  0.374  0.626  0.492
Y  0.626  0.374  0.508
Y  0.626  0.374  0.992
Er  0.113  0.887  0.250
Er  0.887  0.113  0.750

=====

Here is crystalline ReSb2Br at its relaxed geometry from Alexandria. Energies are from PBE-GGA.

Density of states at the Fermi level in states/eV/cell: 2.03
Polymorph energy (0 for the lowest one) in eV per atom: 0.167
Symmetry: Amm2 (38)
Uncorrected formation energy in eV per atom: 0.381

Lattice parameters (Å, degrees): 3.490 5.836 5.836 54.80 90.00 90.00
Sites, in units of the cell vectors:
Re  0.000  0.000  0.000
Sb  0.000  0.484  0.484
Sb  0.500  0.189  0.189
Br  0.500  0.801  0.801

=====

Here is crystalline NaZr4S8 at its relaxed geometry from Alexandria. Energies are from PBE-GGA.

Density of states at the Fermi level in states/eV/cell: 2.97
Polymorph energy (0 for the lowest one) in eV per atom: 0.000
Symmetry: R-3m (166)
Uncorrected formation energy in eV per atom: -1.547

Lattice parameters (Å, degrees): 8.235 8.235 8.235 52.80 52.80 52.80
Sites, in units of the cell vectors:
Na  0.000  0.000  0.000
Zr  0.000  0.000  0.500
Zr  0.000  0.500  0.000
Zr  0.500  0.000  0.000
Zr  0.500  0.500  0.500
S  0.237  0.237  0.237
S  0.239  0.737  0.737
S  0.263  0.263  0.761
S  0.263  0.761  0.263
S  0.737  0.239  0.737
S  0.737  0.737  0.239
S  0.761  0.263  0.263
S  0.763  0.763  0.763

=====

Here is crystalline CaPmCoAu at its relaxed geometry from Alexandria. Energies are from PBE-GGA.

Density of states at the Fermi level in states/eV/cell: 3.06
Symmetry: F-43m (216)
Calculated total energy in eV/cell: -18.14

Lattice parameters (Å, degrees): 5.023 5.023 5.023 60.00 60.00 60.00
Sites, in units of the cell vectors:
Ca  0.000  0.000  0.000
Pm  0.500  0.500  0.500
Co  0.750  0.750  0.750
Au  0.250  0.250  0.250

=====

Here is crystalline RbAc2Te6Pb3 at its relaxed geometry from Alexandria. Energies are from PBE-GGA.

Density of states at the Fermi level in states/eV/cell: 3.11
Symmetry: C2/m (12)
Uncorrected formation energy in eV per atom: -0.882

Lattice parameters (Å, degrees): 10.556 10.556 9.354 100.58 100.58 27.16
Sites, in units of the cell vectors:
Rb  0.000  0.000  0.000
Ac  0.333  0.333  0.675
Ac  0.667  0.667  0.325
Te  0.166  0.166  0.574
Te  0.179  0.179  0.083
Te  0.495  0.495  0.727
Te  0.505  0.505  0.273
Te  0.821  0.821  0.917
Te  0.834  0.834  0.426
Pb  0.000  0.000  0.500
Pb  0.339  0.339  0.152
Pb  0.661  0.661  0.848

=====

Here is crystalline Pr4TeSe2 at its relaxed geometry from Alexandria. Energies are from PBE-GGA.

Density of states at the Fermi level in states/eV/cell: 4.63
Polymorph energy (0 for the lowest one) in eV per atom: 0.212
Symmetry: R-3m (166)
Uncorrected formation energy in eV per atom: -1.203

Lattice parameters (Å, degrees): 11.365 11.365 11.365 25.80 25.80 25.80
Sites, in units of the cell vectors:
Pr  0.120  0.120  0.120
Pr  0.297  0.297  0.297
Pr  0.703  0.703  0.703
Pr  0.880  0.880  0.880
Te  0.000  0.000  0.000
Se  0.209  0.209  0.209
Se  0.791  0.791  0.791